# LuHfCuHg

A geometry-optimized LuHfCuHg structure (PBE, Alexandria).

Unit cell a=6.9117 b=6.9117 c=6.9117 alpha=90.00 beta=90.00 gamma=90.00
Last column: nearest neighbours and their distance in Å.
Space group F-43m (No. 216)
Unique sites:
Lu 0.0000 0.0000 0.0000 (multiplicity 4)  4 Hg 2.99, 4 Cu 2.99
Hf 0.0000 0.0000 0.5000 (multiplicity 4)  4 Hg 2.99, 4 Cu 2.99
Cu 0.2500 0.2500 0.7500 (multiplicity 4)  4 Hf 2.99, 4 Lu 2.99
Hg 0.2500 0.2500 0.2500 (multiplicity 4)  4 Hf 2.99, 4 Lu 2.99

Output
The value obtained for the formation energy is -111.9 meV per atom.

# BaWAu2

A geometry-optimized BaWAu2 structure (PBE, Alexandria).

Unit cell a=7.3386 b=7.3386 c=7.3386 alpha=90.00 beta=90.00 gamma=90.00
Last column: nearest neighbours and their distance in Å.
Space group Fm-3m (No. 225)
Unique sites:
Ba 0.0000 0.0000 0.0000 (multiplicity 4)  8 Au 3.18
W 0.0000 0.0000 0.5000 (multiplicity 4)  8 Au 3.18
Au 0.2500 0.2500 0.2500 (multiplicity 8)  4 Ba 3.18, 4 W 3.18

Output
The calculation puts the polymorph energy (0 for the lowest one) at 0.480 eV/atom. The value obtained for the formation energy is 706.5 meV per atom.

# KRePt

A geometry-optimized KRePt structure (PBE, Alexandria).

Unit cell a=2.9032 b=2.9245 c=14.8278 alpha=92.94 beta=93.05 gamma=90.00
Last column: nearest neighbours and their distance in Å.
Space group P-1 (No. 2)
Unique sites:
K 0.1532 0.1573 0.1436 (multiplicity 2)  4 K 2.90-2.92
Re 0.2342 0.2348 0.4416 (multiplicity 2)  8 Re 2.69-2.92, 4 Pt 2.78
Pt 0.3001 0.2979 0.6844 (multiplicity 2)  4 Re 2.78, 4 Pt 2.90-2.92

Output
The calculation puts the polymorph energy (0 for the lowest one) at 0.033 eV/atom. The value obtained for the formation energy is 261.1 meV per atom.

# K2CaCu3F12

A geometry-optimized K2CaCu3F12 structure (PBE, Alexandria).

Unit cell a=7.4577 b=7.4577 c=16.9623 alpha=90.00 beta=90.00 gamma=120.00
Last column: nearest neighbours and their distance in Å.
Space group R-3m (No. 166, hexagonal axes)
Unique sites:
K 0.0000 0.0000 0.1229 (multiplicity 6)  3 F 2.72
Ca 0.0000 0.0000 0.5000 (multiplicity 3)  6 F 2.34
Cu 0.0000 0.5000 0.0000 (multiplicity 9)  6 F 1.91-1.95
F 0.0005 0.5003 0.1126 (multiplicity 18)  1 Cu 1.91
F 0.0786 0.5393 0.3289 (multiplicity 18)  2 Cu 1.95

Output
For the uncorrected formation energy, the calculation gives -2191.3 meV per atom.

| no. | size of the total moment (μB/atom) |
| --- | --- |
| 1 | 0.18 |
| 2 | 0.91 |
| 3 | 0.00 |
| 4 | 0.18 |